No. 1
VASP calculation (GGA-PBE) on a relaxed structure of Cs4GaSn3Cl12.

- space group = Im-3m (229)
- magnetic moment (μB per formula unit) = 0.00
- raw total energy (eV/atom) = -3.4481

a b c (Å): 9.5704 9.5704 9.5704
angles (deg): 109.47 109.47 109.47
Fractional positions:
1 Cs 0.5000 0.5000 0.5000
2 Cs 0.0000 0.0000 0.5000
3 Cs 0.0000 0.5000 0.0000
4 Cs 0.5000 0.0000 0.0000
5 Sn 0.5000 0.5000 0.0000
6 Sn 0.0000 0.5000 0.5000
7 Sn 0.5000 0.0000 0.5000
8 Cl 0.5000 0.2500 0.7500
9 Cl 0.2444 0.2444 0.0000
10 Cl 0.7500 0.5000 0.2500
11 Cl 0.7556 0.7556 0.0000
12 Cl 0.2500 0.5000 0.7500
13 Cl 0.7556 0.0000 0.7556
14 Cl 0.0000 0.2444 0.2444
15 Cl 0.2444 0.0000 0.2444
16 Cl 0.5000 0.7500 0.2500
17 Cl 0.7500 0.2500 0.5000
18 Cl 0.2500 0.7500 0.5000
19 Cl 0.0000 0.7556 0.7556
20 Ga 0.0000 0.0000 0.0000

=====

No. 2
VASP calculation (GGA-PBE) on a relaxed structure of CsSrGa2Cl8.

- space group = R-3 (148)
- magnetic moment (μB per formula unit) = 0.90
- raw total energy (eV/atom) = -3.4424

a b c (Å): 6.8441 6.8441 10.6652
angles (deg): 71.29 71.29 60.00
Each line ends with the local moment (μB).
Fractional positions:
1 Cl 0.0581 0.4058 0.8246  0.04
2 Cl 0.5942 0.2885 0.1754  0.04
3 Cl 0.1755 0.1755 0.4735  0.04
4 Cl 0.7115 0.0581 0.8246  0.04
5 Cl 0.2885 0.9419 0.1754  0.04
6 Cl 0.4058 0.7115 0.8246  0.04
7 Cl 0.8245 0.8245 0.5265  0.04
8 Cl 0.9419 0.5942 0.1754  0.04
9 Cs 0.5000 0.5000 0.5000  0.00
10 Ga 0.7487 0.7487 0.7538  0.15
11 Ga 0.2513 0.2513 0.2462  0.15
12 Sr 0.0000 0.0000 0.0000  0.01

=====

No. 3
VASP calculation (GGA-PBE) on a relaxed structure of CsSrGaCl6.

- space group = P312 (149)
- magnetic moment (μB per formula unit) = 0.00
- raw total energy (eV/atom) = -3.5953

a b c (Å): 7.0951 7.0951 7.4965
angles (deg): 90.00 90.00 60.00
Fractional positions:
1 Cl 0.6024 0.3457 0.6892
2 Cl 0.0519 0.6024 0.6892
3 Cl 0.0519 0.3457 0.3108
4 Cl 0.6024 0.0519 0.3108
5 Cl 0.3456 0.6024 0.3108
6 Cl 0.3456 0.0519 0.6892
7 Sr 0.6666 0.6667 0.5000
8 Cs 0.0000 0.0000 0.0000
9 Ga 0.3333 0.3333 0.5000

=====

No. 4
VASP calculation (GGA-PBE) on a relaxed structure of CsTaGa2Cl8.

- space group = P-1 (2)
- magnetic moment (μB per formula unit) = 0.00
- raw total energy (eV/atom) = -4.0593

a b c (Å): 6.7457 7.4115 9.2161
angles (deg): 68.17 88.10 90.06
Fractional positions:
1 Ta 0.0000 0.0000 0.0000
2 Cl 0.2869 0.0848 0.1010
3 Cl 0.9454 0.7246 0.2405
4 Cl 0.4713 0.7338 0.5114
5 Cl 0.1903 0.8041 0.8983
6 Cl 0.7131 0.9152 0.8990
7 Cl 0.5287 0.2662 0.4886
8 Cl 0.0546 0.2754 0.7595
9 Cl 0.8097 0.1959 0.1017
10 Ga 0.4924 0.6202 0.2765
11 Ga 0.5076 0.3798 0.7235
12 Cs 0.0000 0.0000 0.5000